DFT (PBE) results for an optimized crystal structure of SOF2.

Output
Offset from the most stable computed form (meV/atom): 2348.7
Formation energy (no corrections) (meV/atom): 785

abc: 3.8144 3.8144 3.8144
angles: 60.00 60.00 60.00
Last column: nearest neighbours and their distance in Å.
Atoms (fractional coordinates):
S1 0.5000 0.5000 0.5000  8 F 2.34
O1 0.0000 0.0000 0.0000  8 F 2.34
F1 0.2500 0.2500 0.2500  4 S 2.34, 4 O 2.34
F2 0.7500 0.7500 0.7500  4 O 2.34, 4 S 2.34